Here is an optimized crystal structure of KZnCr from Alexandria. Energies are from PBE.

Calculated values
DFT formation energy	0.718	eV/atom
excess energy over the best structure of this formula in the dataset	132	meV/atom

Lattice parameters (Å, degrees): 4.619 4.619 5.061 90.00 90.00 120.00
Fractional coordinates of all 3 atoms:
K 0.000 0.000 0.000
Zn 0.667 0.333 0.500
Cr 0.333 0.667 0.500

***

Here is an optimized crystal structure of Tb3Tm6PuTh2 from Alexandria. Energies are from PBE.

Calculated values
DFT formation energy	0.030	eV/atom

Lattice parameters (Å, degrees): 6.078 6.078 11.589 95.02 95.02 120.00
Fractional coordinates of all 12 atoms:
Tb 0.000 0.000 0.000
Tb 0.333 0.667 0.000
Tb 0.667 0.333 0.000
Tm 0.086 0.418 0.254
Tm 0.250 0.250 0.746
Tm 0.418 0.086 0.254
Tm 0.582 0.914 0.746
Tm 0.750 0.750 0.254
Tm 0.914 0.582 0.746
Pu 0.500 0.500 0.500
Th 0.167 0.833 0.500
Th 0.833 0.167 0.500

***

Here is an optimized crystal structure of La2PbI from Alexandria. Energies are from PBE.

Calculated values
formation energy from raw total energies	-0.794	eV/atom
excess energy over the best structure of this formula in the dataset	85	meV/atom

Lattice parameters (Å, degrees): 4.714 8.029 7.882 90.00 90.00 90.00
Fractional coordinates of all 8 atoms:
La 0.250 0.004 0.229
La 0.250 0.496 0.229
La 0.750 0.504 0.771
La 0.750 0.996 0.771
Pb 0.250 0.750 0.903
Pb 0.750 0.250 0.097
I 0.250 0.250 0.585
I 0.750 0.750 0.415

***

Here is an optimized crystal structure of CePu4Ge5 from Alexandria. Energies are from PBE.

Calculated values
DFT formation energy	-0.289	eV/atom

Lattice parameters (Å, degrees): 3.870 3.870 13.979 90.00 90.00 90.00
Fractional coordinates of all 10 atoms:
Ce 0.000 0.000 0.000
Pu 0.000 0.000 0.210
Pu 0.000 0.000 0.419
Pu 0.000 0.000 0.581
Pu 0.000 0.000 0.790
Ge 0.500 0.500 0.107
Ge 0.500 0.500 0.313
Ge 0.500 0.500 0.500
Ge 0.500 0.500 0.687
Ge 0.500 0.500 0.893

***

Here is an optimized crystal structure of MgCoI from Alexandria. Energies are from PBE.

Calculated values
formation energy from raw total energies	-0.211	eV/atom
excess energy over the best structure of this formula in the dataset	37	meV/atom

Lattice parameters (Å, degrees): 3.898 3.898 11.686 99.24 90.26 120.00
Fractional coordinates of all 6 atoms:
Mg 0.000 0.000 0.000
Mg 0.108 0.207 0.318
Co 0.387 0.770 0.159
Co 0.720 0.436 0.159
I 0.613 0.230 0.841
I 0.828 0.643 0.477

***

Here is an optimized crystal structure of RhIF3 from Alexandria. Energies are from PBE.

Calculated values
formation energy from raw total energies	-0.646	eV/atom
excess energy over the best structure of this formula in the dataset	529	meV/atom

Lattice parameters (Å, degrees): 4.298 4.298 4.298 90.00 90.00 90.00
Fractional coordinates of all 5 atoms:
Rh 0.000 0.000 0.000
I 0.500 0.500 0.500
F 0.000 0.000 0.500
F 0.000 0.500 0.000
F 0.500 0.000 0.000

***

Here is an optimized crystal structure of Pm2DyTm from Alexandria. Energies are from PBE.

Calculated values
DFT formation energy	0.017	eV/atom
excess energy over the best structure of this formula in the dataset	1	meV/atom

Lattice parameters (Å, degrees): 3.593 5.025 7.180 90.00 90.00 90.00
Fractional coordinates of all 4 atoms:
Pm 0.000 0.000 0.249
Pm 0.000 0.000 0.751
Dy 0.500 0.500 0.500
Tm 0.500 0.500 0.000

***

Here is an optimized crystal structure of K3Th3CrSe8 from Alexandria. Energies are from PBE.

Calculated values
formation energy from raw total energies	-1.400	eV/atom

Lattice parameters (Å, degrees): 9.236 9.236 9.236 54.52 54.52 54.52
Fractional coordinates of all 15 atoms:
K 0.000 0.500 0.500
K 0.500 0.000 0.500
K 0.500 0.500 0.000
Th 0.000 0.000 0.500
Th 0.000 0.500 0.000
Th 0.500 0.000 0.000
Cr 0.500 0.500 0.500
Se 0.239 0.239 0.239
Se 0.241 0.728 0.728
Se 0.272 0.272 0.759
Se 0.272 0.759 0.272
Se 0.728 0.241 0.728
Se 0.728 0.728 0.241
Se 0.759 0.272 0.272
Se 0.761 0.761 0.761

***

Here is an optimized crystal structure of LiZnNiAg from Alexandria. Energies are from PBE.

Calculated values
DFT formation energy	-0.087	eV/atom

Lattice parameters (Å, degrees): 4.271 4.271 4.271 60.00 60.00 60.00
Fractional coordinates of all 4 atoms:
Li 0.000 0.000 0.000
Zn 0.500 0.500 0.500
Ni 0.750 0.750 0.750
Ag 0.250 0.250 0.250

***

Here is an optimized crystal structure of Np2TeF4 from Alexandria. Energies are from PBE.

Calculated values
formation energy from raw total energies	-2.776	eV/atom

Lattice parameters (Å, degrees): 8.412 8.412 8.412 28.84 28.84 28.84
Fractional coordinates of all 7 atoms:
Np 0.240 0.240 0.240
Np 0.760 0.760 0.760
Te 0.000 0.000 0.000
F 0.140 0.140 0.140
F 0.434 0.434 0.434
F 0.566 0.566 0.566
F 0.860 0.860 0.860

***

Here is an optimized crystal structure of Sr2PmCuO4 from Alexandria. Energies are from PBE.

Calculated values
formation energy from raw total energies	-2.270	eV/atom

Lattice parameters (Å, degrees): 6.096 3.563 6.202 90.00 111.11 90.00
Fractional coordinates of all 8 atoms:
Sr 0.000 0.000 0.000
Sr 0.500 0.500 0.000
Pm 0.000 0.500 0.500
Cu 0.500 0.000 0.500
O 0.224 0.000 0.743
O 0.244 0.500 0.266
O 0.756 0.500 0.734
O 0.776 0.000 0.257

***

Here is an optimized crystal structure of SmYGa2 from Alexandria. Energies are from PBE.

Calculated values
DFT formation energy	-0.587	eV/atom
excess energy over the best structure of this formula in the dataset	49	meV/atom

Lattice parameters (Å, degrees): 5.111 5.111 5.111 60.00 60.00 60.00
Fractional coordinates of all 4 atoms:
Sm 0.000 0.000 0.000
Y 0.500 0.500 0.500
Ga 0.250 0.250 0.250
Ga 0.750 0.750 0.750

***

Here is an optimized crystal structure of TlOsBr from Alexandria. Energies are from PBE.

Calculated values
formation energy from raw total energies	1.100	eV/atom
excess energy over the best structure of this formula in the dataset	141	meV/atom

Lattice parameters (Å, degrees): 4.611 4.611 3.308 90.00 90.00 120.00
Fractional coordinates of all 3 atoms:
Tl 0.000 0.000 0.000
Os 0.333 0.667 0.500
Br 0.667 0.333 0.500

***

Here is an optimized crystal structure of SiTcRu from Alexandria. Energies are from PBE.

Calculated values
formation energy from raw total energies	-0.382	eV/atom
excess energy over the best structure of this formula in the dataset	0	meV/atom

Lattice parameters (Å, degrees): 5.161 5.161 5.161 147.31 147.31 46.91
Fractional coordinates of all 3 atoms:
Si 0.000 0.000 0.000
Tc 0.344 0.344 0.000
Ru 0.650 0.650 0.000

***

Here is an optimized crystal structure of FeSb from Alexandria. Energies are from PBE.

Calculated values
formation energy from raw total energies	0.169	eV/atom

Lattice parameters (Å, degrees): 6.670 6.670 6.670 150.28 56.73 132.85
Fractional coordinates of all 6 atoms:
Fe 0.000 0.000 0.000
Fe 0.637 0.258 0.379
Fe 0.879 0.258 0.621
Sb 0.024 0.727 0.298
Sb 0.429 0.727 0.702
Sb 0.501 0.501 0.000

***

Here is an optimized crystal structure of La3TlGe from Alexandria. Energies are from PBE.

Calculated values
DFT formation energy	-0.529	eV/atom
excess energy over the best structure of this formula in the dataset	0	meV/atom

Lattice parameters (Å, degrees): 9.738 9.176 6.140 76.10 66.17 37.74
Fractional coordinates of all 10 atoms:
La 0.193 0.193 0.807
La 0.199 0.598 0.402
La 0.402 0.801 0.199
La 0.598 0.199 0.801
La 0.801 0.402 0.598
La 0.807 0.807 0.193
Tl 0.204 0.796 0.796
Tl 0.796 0.204 0.204
Ge 0.250 0.250 0.250
Ge 0.750 0.750 0.750

***

Here is an optimized crystal structure of La3DyTm2Te6 from Alexandria. Energies are from PBE.

Calculated values
formation energy from raw total energies	-1.410	eV/atom

Lattice parameters (Å, degrees): 10.019 10.019 9.025 104.93 104.93 25.31
Fractional coordinates of all 12 atoms:
La 0.000 0.000 0.000
La 0.335 0.335 0.668
La 0.665 0.665 0.332
Dy 0.000 0.000 0.500
Tm 0.334 0.334 0.168
Tm 0.666 0.666 0.832
Te 0.164 0.164 0.596
Te 0.172 0.172 0.071
Te 0.495 0.495 0.259
Te 0.505 0.505 0.741
Te 0.828 0.828 0.929
Te 0.836 0.836 0.404

***

Here is an optimized crystal structure of Ac2TbTc from Alexandria. Energies are from PBE.

Calculated values
DFT formation energy	0.823	eV/atom

Lattice parameters (Å, degrees): 11.617 11.617 11.617 18.08 18.08 18.08
Fractional coordinates of all 4 atoms:
Ac 0.077 0.077 0.077
Ac 0.923 0.923 0.923
Tb 0.500 0.500 0.500
Tc 0.000 0.000 0.000

***

Here is an optimized crystal structure of NaSiB from Alexandria. Energies are from PBE.

Calculated values
formation energy from raw total energies	0.020	eV/atom

Lattice parameters (Å, degrees): 3.475 3.475 4.628 90.00 90.00 120.00
Fractional coordinates of all 3 atoms:
Na 0.000 0.000 0.000
Si 0.333 0.667 0.500
B 0.667 0.333 0.500

***

Here is an optimized crystal structure of Ca2RhSe from Alexandria. Energies are from PBE.

Calculated values
formation energy from raw total energies	-0.625	eV/atom

Lattice parameters (Å, degrees): 6.333 6.333 6.333 105.90 105.90 116.88
Fractional coordinates of all 8 atoms:
Ca 0.111 0.125 0.486
Ca 0.375 0.889 0.014
Ca 0.639 0.625 0.514
Ca 0.875 0.361 0.986
Rh 0.000 0.000 0.000
Rh 0.750 0.250 0.500
Se 0.250 0.750 0.500
Se 0.500 0.500 0.000

***

Here is an optimized crystal structure of AlSb2Au2 from Alexandria. Energies are from PBE.

Calculated values
formation energy from raw total energies	0.156	eV/atom
excess energy over the best structure of this formula in the dataset	85	meV/atom

Lattice parameters (Å, degrees): 8.277 8.277 8.277 153.01 153.01 38.53
Fractional coordinates of all 5 atoms:
Al 0.000 0.000 0.000
Sb 0.397 0.397 0.000
Sb 0.603 0.603 0.000
Au 0.250 0.750 0.500
Au 0.750 0.250 0.500

***

Here is an optimized crystal structure of Pa8Ga2Tc3 from Alexandria. Energies are from PBE.

Calculated values
DFT formation energy	-0.040	eV/atom

Lattice parameters (Å, degrees): 7.465 7.465 5.917 109.14 109.14 70.41
Fractional coordinates of all 13 atoms:
Pa 0.099 0.099 0.406
Pa 0.116 0.547 0.314
Pa 0.356 0.356 0.837
Pa 0.453 0.884 0.686
Pa 0.547 0.116 0.314
Pa 0.644 0.644 0.163
Pa 0.884 0.453 0.686
Pa 0.901 0.901 0.594
Ga 0.142 0.142 0.961
Ga 0.858 0.858 0.039
Tc 0.246 0.754 0.000
Tc 0.500 0.500 0.500
Tc 0.754 0.246 0.000

***

Here is an optimized crystal structure of TlB2F from Alexandria. Energies are from PBE.

Calculated values
formation energy from raw total energies	0.210	eV/atom
excess energy over the best structure of this formula in the dataset	0	meV/atom

Lattice parameters (Å, degrees): 12.449 12.449 12.449 164.36 164.36 22.19
Fractional coordinates of all 8 atoms:
Tl 0.375 0.625 0.750
Tl 0.625 0.375 0.250
B 0.000 0.000 0.000
B 0.000 0.000 0.500
B 0.000 0.500 0.000
B 0.500 0.000 0.500
F 0.125 0.875 0.250
F 0.875 0.125 0.750

***

Here is an optimized crystal structure of LaHgI2N from Alexandria. Energies are from PBE.

Calculated values
formation energy from raw total energies	0.265	eV/atom
excess energy over the best structure of this formula in the dataset	556	meV/atom

Lattice parameters (Å, degrees): 6.313 6.313 3.989 90.00 90.00 90.00
Fractional coordinates of all 5 atoms:
La 0.000 0.000 0.000
Hg 0.500 0.500 0.500
I 0.000 0.500 0.500
I 0.500 0.000 0.500
N 0.500 0.500 0.000

***

Here is an optimized crystal structure of Ca2LaIrPb from Alexandria. Energies are from PBE.

Calculated values
DFT formation energy	-0.441	eV/atom

Lattice parameters (Å, degrees): 5.509 5.509 5.455 90.00 90.00 90.00
Fractional coordinates of all 5 atoms:
Ca 0.000 0.500 0.000
Ca 0.500 0.000 0.000
La 0.000 0.000 0.500
Ir 0.000 0.000 0.000
Pb 0.500 0.500 0.500

***

Here is an optimized crystal structure of Ce2Er2In from Alexandria. Energies are from PBE.

Calculated values
DFT formation energy	0.206	eV/atom

Lattice parameters (Å, degrees): 10.454 10.454 10.454 158.96 158.96 29.93
Fractional coordinates of all 5 atoms:
Ce 0.250 0.750 0.500
Ce 0.750 0.250 0.500
Er 0.092 0.092 0.000
Er 0.908 0.908 0.000
In 0.500 0.500 0.000

***

no.,calculated density (kg/m³),V (Å³/atom)
1,2779,31.17
2,9999,30.42
3,6813,37.29
4,11735,20.93
5,4621,25.17
6,5999,15.88
7,7961,32.41
8,5117,32.39
9,7200,13.77
10,9186,17.50
11,5916,15.71
12,6660,23.61
13,12936,20.30
14,9441,13.32
15,8258,17.86
16,7577,30.41
17,7479,31.13
18,8951,32.97
19,2123,16.14
20,4509,24.13
21,9464,23.32
22,13315,21.89
23,5800,17.54
24,6343,31.80
25,6204,33.11
26,8228,29.45